# 1
KTbCuBr6 PBE-GGA optimized geometry; V = 323.3 Å³/cell; total DFT energy (no corrections) = -3.504 eV per atom; formation energy without anion corrections = -1297 meV/atom
1.0
6.9074 0.0000 0.0000
-2.7796 6.3424 0.0000
-0.4665 -0.6754 7.3804
K Tb Cu Br
1 1 1 6
direct
0.0000 0.0000 0.0000
0.3406 0.6643 0.5010
0.6944 0.3186 0.4948
0.0182 0.3426 0.6739
0.0234 0.6131 0.2396
0.3882 0.9728 0.7661
0.4252 0.3541 0.2819
0.6541 0.5773 0.7142
0.6557 0.9865 0.3226

=====

# 2
KCuTcBr6 PBE-GGA optimized geometry; V = 295.0 Å³/cell; total DFT energy (no corrections) = -3.486 eV per atom; formation energy without anion corrections = -642 meV/atom
1.0
6.8150 0.0000 0.0000
-3.4075 5.9019 0.0000
0.0000 0.0000 7.3324
K Cu Tc Br
1 1 1 6
direct
0.0000 0.0000 0.0000
0.3333 0.6667 0.5000
0.6667 0.3333 0.5000
0.3766 0.0131 0.6980
0.3766 0.3635 0.3020
0.6365 0.0131 0.3020
0.6365 0.6234 0.6980
0.9869 0.3635 0.6980
0.9869 0.6234 0.3020

=====

# 3
K2CuTeBr6 PBE-GGA optimized geometry; V = 672.7 Å³/cell; total DFT energy (no corrections) = -2.777 eV per atom; formation energy without anion corrections = -830 meV/atom
1.0
7.7871 0.0000 0.0000
0.0000 11.0961 0.0000
0.0000 0.0000 7.7848
K Cu Te Br
4 2 2 12
direct
0.2500 0.0037 0.2484
0.2500 0.4963 0.2484
0.7500 0.5037 0.7516
0.7500 0.9963 0.7516
0.2500 0.2500 0.7501
0.7500 0.7500 0.2499
0.2500 0.7500 0.7492
0.7500 0.2500 0.2508
0.0019 0.2500 0.5020
0.0020 0.2500 0.9993
0.2500 0.0317 0.7503
0.2500 0.4683 0.7503
0.4981 0.2500 0.5020
0.4980 0.2500 0.9993
0.5020 0.7500 0.0007
0.5019 0.7500 0.4980
0.7500 0.5317 0.2497
0.7500 0.9683 0.2497
0.9980 0.7500 0.0007
0.9981 0.7500 0.4980

=====

# 4
KThCu2Br8 PBE-GGA optimized geometry; V = 436.6 Å³/cell; total DFT energy (no corrections) = -3.589 eV per atom; formation energy without anion corrections = -1081 meV/atom
1.0
5.5528 -3.9573 0.0000
5.5528 3.9573 0.0000
-0.2359 0.0000 9.9336
K Th Cu Br
1 1 2 8
direct
0.0000 0.0000 0.0000
0.0000 0.0000 0.5000
0.3470 0.3470 0.7332
0.6530 0.6530 0.2668
0.2442 0.7480 0.7095
0.2520 0.7558 0.2905
0.2580 0.2580 0.5089
0.2969 0.2969 0.9564
0.7031 0.7031 0.0436
0.7420 0.7420 0.4911
0.7480 0.2442 0.7095
0.7558 0.2520 0.2905

=====

# 5
KTiCuBr6 PBE-GGA optimized geometry; V = 299.3 Å³/cell; total DFT energy (no corrections) = -3.639 eV per atom; formation energy without anion corrections = -1070 meV/atom
1.0
3.3042 -6.3479 0.0000
3.3042 6.3479 0.0000
-0.8906 0.0000 7.1348
K Ti Cu Br
1 1 1 6
direct
0.0000 0.0000 0.0000
0.3145 0.6855 0.5000
0.5971 0.4029 0.5000
0.0154 0.4277 0.2401
0.2918 0.3806 0.6803
0.3716 0.0286 0.3245
0.5723 0.9846 0.7599
0.6194 0.7082 0.3197
0.9714 0.6284 0.6755

=====

# 6
KTl3Cu4Br12 PBE-GGA optimized geometry; V = 757.2 Å³/cell; total DFT energy (no corrections) = -2.783 eV per atom; formation energy without anion corrections = -550 meV/atom
1.0
7.5994 4.3875 3.7848
-7.5994 4.3875 3.7848
0.0000 -8.7750 3.7848
K Tl Cu Br
1 3 4 12
direct
0.0000 0.0000 0.0000
0.0000 0.5492 0.4508
0.4508 0.0000 0.5492
0.5492 0.4508 0.0000
0.0598 0.5000 0.9402
0.5000 0.5000 0.5000
0.5000 0.9402 0.0598
0.9402 0.0598 0.5000
0.0062 0.6405 0.7824
0.0956 0.9044 0.5000
0.2176 0.3595 0.9938
0.3471 0.6529 0.5000
0.3595 0.9938 0.2176
0.5000 0.0956 0.9044
0.5000 0.3471 0.6529
0.6405 0.7824 0.0062
0.6529 0.5000 0.3471
0.7824 0.0062 0.6405
0.9044 0.5000 0.0956
0.9938 0.2176 0.3595

=====

# 7
KTlCuBr6 PBE-GGA optimized geometry; V = 318.3 Å³/cell; total DFT energy (no corrections) = -2.628 eV per atom; formation energy without anion corrections = -673 meV/atom
1.0
6.8956 0.0000 0.0000
-2.5987 6.4031 0.0000
-0.5888 -0.8507 7.2101
K Tl Cu Br
1 1 1 6
direct
0.0000 0.0000 0.0000
0.6532 0.3421 0.4990
0.2993 0.6887 0.5060
0.3401 0.4290 0.2804
0.3418 0.0217 0.6833
0.5685 0.6513 0.7255
0.6045 0.0286 0.2382
0.9743 0.6618 0.3216
0.9753 0.3930 0.7548

=====

# 8
KTlCu2Br6 PBE-GGA optimized geometry; V = 353.8 Å³/cell; total DFT energy (no corrections) = -2.830 eV per atom; formation energy without anion corrections = -661 meV/atom
1.0
3.6664 2.1168 7.5990
-3.6664 2.1168 7.5990
0.0000 -4.2337 7.5990
K Tl Cu Br
1 1 2 6
direct
0.0000 0.0000 0.0000
0.5000 0.5000 0.5000
0.2370 0.2370 0.2370
0.7630 0.7630 0.7630
0.0881 0.7386 0.4507
0.2614 0.5493 0.9119
0.4507 0.0881 0.7386
0.5493 0.9119 0.2614
0.7386 0.4507 0.0881
0.9119 0.2614 0.5494

=====

# 9
KTl2CuBr5 PBE-GGA optimized geometry; V = 590.9 Å³/cell; total DFT energy (no corrections) = -2.876 eV per atom; formation energy without anion corrections = -844 meV/atom
1.0
-4.4124 4.4124 7.5876
4.4124 -4.4124 7.5876
4.4124 4.4124 -7.5876
K Tl Cu Br
2 4 2 10
direct
0.2500 0.2500 0.0000
0.7500 0.7500 0.0000
0.1644 0.6644 0.8289
0.3356 0.1644 0.5000
0.6644 0.8356 0.5000
0.8356 0.3356 0.1711
0.2500 0.7500 0.5000
0.7500 0.2500 0.5000
0.0000 0.0000 0.0000
0.0004 0.2026 0.5000
0.9996 0.7974 0.5000
0.2026 0.7026 0.2023
0.2974 0.4996 0.5000
0.4996 0.9996 0.2023
0.5004 0.0004 0.7977
0.5000 0.5000 0.0000
0.7026 0.5004 0.5000
0.7974 0.2974 0.7977

=====

# 10
KTlCu2Br8 PBE-GGA optimized geometry; V = 394.8 Å³/cell; total DFT energy (no corrections) = -2.579 eV per atom; formation energy without anion corrections = -492 meV/atom
1.0
3.3713 1.9464 10.0275
-3.3713 1.9464 10.0275
0.0000 -3.8928 10.0275
K Tl Cu Br
1 1 2 8
direct
0.0000 0.0000 0.0000
0.5000 0.5000 0.5000
0.2497 0.2497 0.2497
0.7503 0.7503 0.7503
0.1125 0.4272 0.7738
0.2262 0.5728 0.8875
0.3280 0.3280 0.3280
0.4272 0.7738 0.1125
0.5728 0.8875 0.2262
0.6720 0.6720 0.6720
0.7738 0.1125 0.4272
0.8875 0.2262 0.5728

=====

# 11
K3TlCu2Br9 PBE-GGA optimized geometry; V = 463.9 Å³/cell; total DFT energy (no corrections) = -2.822 eV per atom; formation energy without anion corrections = -895 meV/atom
1.0
7.5434 0.0000 0.0000
-3.7717 6.5327 0.0000
0.0000 0.0000 9.4148
K Tl Cu Br
3 1 2 9
direct
0.0000 0.0000 0.0000
0.3333 0.6667 0.6973
0.6667 0.3333 0.3027
0.0000 0.0000 0.5000
0.3333 0.6667 0.1534
0.6667 0.3333 0.8466
0.0000 0.5000 0.0000
0.1740 0.3480 0.3161
0.1740 0.8260 0.3161
0.3480 0.1740 0.6839
0.5000 0.0000 0.0000
0.5000 0.5000 0.0000
0.6520 0.8260 0.3161
0.8260 0.1740 0.6839
0.8260 0.6520 0.6839

=====

# 12
K2TlCuBr6 PBE-GGA optimized geometry; V = 326.1 Å³/cell; relative energy among the computed polymorphs = 0.0235 eV per atom; total DFT energy (no corrections) = -2.801 eV per atom; formation energy without anion corrections = -932 meV/atom
1.0
0.0000 5.4631 5.4631
5.4631 0.0000 5.4631
5.4631 5.4631 0.0000
K Tl Cu Br
2 1 1 6
direct
0.2500 0.2500 0.2500
0.7500 0.7500 0.7500
0.0000 0.0000 0.0000
0.5000 0.5000 0.5000
0.2628 0.2628 0.7372
0.2628 0.7372 0.2628
0.2628 0.7372 0.7372
0.7372 0.2628 0.2628
0.7372 0.2628 0.7372
0.7372 0.7372 0.2628

=====

# 13
KTl2Cu3Br8 PBE-GGA optimized geometry; V = 463.2 Å³/cell; total DFT energy (no corrections) = -2.809 eV per atom; formation energy without anion corrections = -559 meV/atom
1.0
4.1470 2.3943 7.7755
-4.1470 2.3943 7.7755
0.0000 -4.7886 7.7755
K Tl Cu Br
1 2 3 8
direct
0.0000 0.0000 0.0000
0.2375 0.2375 0.2375
0.6264 0.6264 0.6264
0.1130 0.6299 0.6299
0.6299 0.1130 0.6299
0.6299 0.6299 0.1130
0.3628 0.3628 0.7898
0.3628 0.7898 0.3628
0.3667 0.3667 0.3667
0.4466 0.8803 0.8803
0.7898 0.3628 0.3628
0.8656 0.8656 0.8656
0.8803 0.4466 0.8803
0.8803 0.8803 0.4466

=====

# 14
K2TlCuBr6 PBE-GGA optimized geometry; V = 638.9 Å³/cell; relative energy among the computed polymorphs = 0.0000 eV per atom; total DFT energy (no corrections) = -2.825 eV per atom; formation energy without anion corrections = -955 meV/atom
1.0
7.3224 0.0000 0.0000
0.0000 7.8977 0.0000
-7.0116 0.0000 11.0477
K Tl Cu Br
4 2 2 12
direct
0.2164 0.0802 0.2455
0.2164 0.4198 0.7455
0.7836 0.5802 0.2545
0.7836 0.9198 0.7545
0.5000 0.0000 0.0000
0.5000 0.5000 0.5000
0.0000 0.0000 0.5000
0.0000 0.5000 0.0000
0.1557 0.2049 0.9650
0.1557 0.2951 0.4650
0.2394 0.6690 0.9633
0.2394 0.8310 0.4633
0.3177 0.5022 0.2469
0.3177 0.9978 0.7469
0.6823 0.0022 0.2531
0.6823 0.4978 0.7531
0.7607 0.1690 0.5367
0.7607 0.3310 0.0367
0.8443 0.7049 0.5350
0.8443 0.7951 0.0350

=====

# 15
KTl2CuBr8 PBE-GGA optimized geometry; V = 458.3 Å³/cell; total DFT energy (no corrections) = -2.559 eV per atom; formation energy without anion corrections = -616 meV/atom
1.0
7.4297 -3.7199 0.0000
7.4297 3.7199 0.0000
-3.8535 0.0000 8.2903
K Tl Cu Br
1 2 1 8
direct
0.0000 0.0000 0.0000
0.1907 0.1907 0.6540
0.8093 0.8093 0.3460
0.5000 0.5000 0.5000
0.1811 0.6428 0.2851
0.1911 0.1911 0.3674
0.3572 0.8189 0.7149
0.3770 0.3770 0.8663
0.6230 0.6230 0.1337
0.6428 0.1811 0.2851
0.8089 0.8089 0.6326
0.8189 0.3572 0.7149

=====

# 16
KTlCuBr4 PBE-GGA optimized geometry; V = 465.7 Å³/cell; total DFT energy (no corrections) = -2.884 eV per atom; formation energy without anion corrections = -849 meV/atom
1.0
7.7203 0.0000 0.0000
0.0000 6.7838 0.0000
-2.7753 0.0000 8.8916
K Tl Cu Br
2 2 2 8
direct
0.2457 0.2500 0.0601
0.7543 0.7500 0.9399
0.3001 0.2500 0.5747
0.6999 0.7500 0.4253
0.2217 0.7500 0.8045
0.7783 0.2500 0.1955
0.0016 0.0091 0.7385
0.0016 0.4909 0.7385
0.3920 0.7500 0.0692
0.4107 0.7500 0.6326
0.5893 0.2500 0.3674
0.6080 0.2500 0.9308
0.9984 0.5091 0.2615
0.9984 0.9909 0.2615

=====

# 17
K3TlCu2Br6 PBE-GGA optimized geometry; V = 513.9 Å³/cell; total DFT energy (no corrections) = -2.984 eV per atom; formation energy without anion corrections = -993 meV/atom
1.0
8.3245 0.0000 0.0000
-4.1622 7.2092 0.0000
0.0000 0.0000 8.5637
K Tl Cu Br
3 1 2 6
direct
0.0000 0.0000 0.0000
0.3333 0.6667 0.6365
0.6667 0.3333 0.3635
0.0000 0.0000 0.5000
0.3333 0.6667 0.2407
0.6667 0.3333 0.7593
0.1711 0.3421 0.2618
0.1711 0.8289 0.2618
0.3421 0.1711 0.7382
0.6579 0.8289 0.2618
0.8289 0.1711 0.7382
0.8289 0.6579 0.7382

=====

# 18
KTl2Cu2Br7 PBE-GGA optimized geometry; V = 357.5 Å³/cell; total DFT energy (no corrections) = -2.842 eV per atom; formation energy without anion corrections = -698 meV/atom
1.0
3.6812 -3.6811 0.0000
3.6812 3.6811 0.0000
-3.6383 0.0000 13.1893
K Tl Cu Br
1 2 2 7
direct
0.0000 0.0000 0.0000
0.1791 0.1791 0.3598
0.8209 0.8209 0.6402
0.4044 0.4044 0.8041
0.5956 0.5956 0.1959
0.0924 0.5924 0.1881
0.3099 0.3099 0.6139
0.4076 0.9076 0.8119
0.5000 0.5000 0.0000
0.5924 0.0924 0.1881
0.6901 0.6901 0.3861
0.9076 0.4076 0.8119

=====

# 19
KTl2CuBr4 PBE-GGA optimized geometry; V = 589.9 Å³/cell; total DFT energy (no corrections) = -2.935 eV per atom; formation energy without anion corrections = -858 meV/atom
1.0
-4.8413 4.8450 6.2868
4.8413 -4.8450 6.2868
4.8413 4.8450 -6.2868
K Tl Cu Br
2 4 2 8
direct
0.0000 0.0000 0.0000
0.5000 0.0000 0.5000
0.0000 0.5000 0.5000
0.5000 0.0000 0.0000
0.5000 0.5000 0.0000
0.5000 0.5000 0.5000
0.0000 0.0000 0.5000
0.0000 0.5000 0.0000
0.1844 0.1830 0.4985
0.1844 0.6859 0.0015
0.2742 0.2480 0.0262
0.2782 0.7520 0.5262
0.7218 0.2480 0.4738
0.7258 0.7520 0.9738
0.8156 0.3141 0.9985
0.8156 0.8170 0.5015